(1)
## Ca3Si2Au9 (PBE)

Data for a geometry-optimized Ca3Si2Au9 structure.

a = 4.3433 Å, b = 10.8794 Å, c = 12.4214 Å
α = 90.00°, β = 90.00°, γ = 90.00°
Last column: nearest neighbours and their distance in Å.
Space group Immm (No. 71)
Asymmetric unit:
Ca  0.0000  0.0000  0.0000 (multiplicity 2)  12 Au 3.25-3.46
Ca  0.0000  0.0000  0.3133 (multiplicity 4)  10 Au 3.18-3.28, 2 Si 3.39
Si  0.0000  0.2275  0.5000 (multiplicity 4)  6 Au 2.56-2.65
Au  0.0000  0.2860  0.1219 (multiplicity 8)  2 Si 2.65, 4 Au 2.78-2.86
Au  0.0000  0.3746  0.3389 (multiplicity 8)  1 Si 2.56, 4 Au 2.73-2.86
Au  0.0000  0.5000  0.0000 (multiplicity 2)  4 Au 2.78

Calculated values
formation energy without anion corrections	-0.441	eV per atom

(2)
## Mg2Zn5Cu2Pd (PBE)

Data for a geometry-optimized Mg2Zn5Cu2Pd structure.

a = 8.8081 Å, b = 8.8081 Å, c = 3.9591 Å
α = 90.00°, β = 90.00°, γ = 90.00°
Last column: nearest neighbours and their distance in Å.
Space group P4/mbm (No. 127)
Asymmetric unit:
Mg  0.1799  0.3201  0.0000 (multiplicity 4)  3 Cu 2.56-2.66
Zn  0.0000  0.5000  0.5000 (multiplicity 2)  4 Cu 2.44, 4 Zn 2.68
Zn  0.0665  0.7968  0.5000 (multiplicity 8)  2 Cu 2.58, 4 Zn 2.66-2.87, 2 Pd 2.73
Cu  0.1145  0.6145  0.0000 (multiplicity 4)  6 Zn 2.44-2.58, 3 Mg 2.56-2.66
Pd  0.0000  0.0000  0.0000 (multiplicity 2)  8 Zn 2.73

Calculated values
energy of formation from the pure elements	-198	meV/atom

(3)
## Re2IrClF (PBE)

Data for a geometry-optimized Re2IrClF structure.

a = 3.9775 Å, b = 3.9775 Å, c = 5.2475 Å
α = 90.00°, β = 90.00°, γ = 90.00°
Last column: nearest neighbours and their distance in Å.
Space group P4/mmm (No. 123)
Asymmetric unit:
Re  0.0000  0.5000  0.0000 (multiplicity 2)  2 F 1.99
Ir  0.0000  0.0000  0.5000 (multiplicity 1)  2 F 2.62, 4 Cl 2.81
Cl  0.5000  0.5000  0.5000 (multiplicity 1)  4 Ir 2.81
F  0.0000  0.0000  0.0000 (multiplicity 1)  4 Re 1.99

Calculated values
formation energy without anion corrections	1.970	eV per atom

(4)
## KLaTi4O12 (PBE)

Data for a geometry-optimized KLaTi4O12 structure.

a = 5.4985 Å, b = 5.4985 Å, c = 7.8878 Å
α = 90.00°, β = 90.00°, γ = 90.00°
Last column: nearest neighbours and their distance in Å.
Space group P4/mmm (No. 123)
Asymmetric unit:
K  0.0000  0.0000  0.0000 (multiplicity 1)  12 O 2.75-2.90
La  0.5000  0.5000  0.5000 (multiplicity 1)  12 O 2.64-2.75
Ti  0.0000  0.5000  0.2395 (multiplicity 4)  6 O 1.89-2.05
O  0.0000  0.5000  0.0000 (multiplicity 2)  2 Ti 1.89
O  0.0000  0.5000  0.5000 (multiplicity 2)  2 Ti 2.05
O  0.2567  0.2567  0.2658 (multiplicity 8)  2 Ti 1.96

Calculated values
formation energy without anion corrections	-2.471	eV per atom

| no. | electronic total energy (eV/atom) | spin magnetization (μB per cell) |
| --- | --- | --- |
| 1 | -3.752 | 0.00 |
| 2 | -2.493 | 0.00 |
| 3 | -5.525 | 0.00 |
| 4 | -7.866 | 4.04 |